The following is a PBE-GGA calculation of a relaxed ReTcCl3 crystal, from the Alexandria database.

CIF file:
```
data_ReTcCl3
_cell_length_a 4.994
_cell_length_b 4.994
_cell_length_c 4.994
_cell_angle_alpha 90.00
_cell_angle_beta 90.00
_cell_angle_gamma 90.00
_symmetry_space_group_name_H-M 'P m -3 m'
_symmetry_Int_Tables_number 221
_symmetry_space_group_name_Hall '-P 4 2 3'
loop_
_atom_site_label
_atom_site_fract_x
_atom_site_fract_y
_atom_site_fract_z
Re1 0.000 0.000 0.000
Tc1 0.500 0.500 0.500
Cl1 0.000 0.500 0.500
```

Summary:
The value obtained for the energy above the most stable polymorph in this dataset is 0.00 kcal/mol of atoms. The energy relative to the elements, uncorrected is 1.05 eV/atom. The calculation puts the volume at 24.91 A^3/atom.